Er3CSe after structural relaxation, computed with PBE-GGA.

CIF file:
```
data_Er3CSe
_symmetry_space_group_name_H-M 'C 1 2/m 1'
_symmetry_Int_Tables_number 12
_cell_length_a 12.831
_cell_length_b 4.366
_cell_length_c 8.651
_cell_angle_alpha 90.00
_cell_angle_beta 103.74
_cell_angle_gamma 90.00
loop_
_symmetry_equiv_pos_as_xyz
'x,y,z'
'-x,-y,-z'
'-x,y,-z'
'x,-y,z'
'x+1/2,y+1/2,z'
'-x+1/2,-y+1/2,-z'
'-x+1/2,y+1/2,-z'
'x+1/2,-y+1/2,z'
loop_
_atom_site_label
_atom_site_type_symbol
_atom_site_fract_x
_atom_site_fract_y
_atom_site_fract_z
Er1 Er 0.070 0.000 0.188
Er2 Er 0.161 0.500 0.950
Er3 Er 0.173 0.000 0.646
C1 C 0.116 0.000 0.884
Se1 Se 0.116 0.500 0.417
```

Results
- N(E_F) (states/eV per atom) = 0.64
- ΔE_f (raw) (eV per atom) = -0.673

KZn3 after structural relaxation, computed with PBE-GGA.

CIF file:
```
data_KZn3
_symmetry_space_group_name_H-M 'R -3 m'
_symmetry_Int_Tables_number 166
_symmetry_space_group_name_Hall '-R 3 2"'
_cell_length_a 10.5389
_cell_length_b 10.5389
_cell_length_c 2.8323
_cell_angle_alpha 90.00
_cell_angle_beta 90.00
_cell_angle_gamma 120.00
loop_
_atom_site_label
_atom_site_type_symbol
_atom_site_fract_x
_atom_site_fract_y
_atom_site_fract_z
K1 K 0.0000 0.0000 0.0000
Zn1 Zn 0.0000 0.5000 0.0000
```

Results
- N(E_F) (states/eV per atom) = 0.29
- ΔH_f (0 K) (eV per atom) = 0.31

| no. | E above lowest polymorph (meV/atom) |
| --- | --- |
| 1 | 67 |
| 2 | 339 |